1.
A geometry-optimized SrTaIr2 structure. Source: the Alexandria database, functional PBE.

abc: 4.997 4.997 3.003
angles: 90.00 90.00 90.00
Space group P4/mmm (No. 123)
Asymmetric unit:
Sr1 0.000 0.000 0.000 (multiplicity 1)
Ta1 0.500 0.500 0.000 (multiplicity 1)
Ir1 0.000 0.500 0.500 (multiplicity 2)

Computed properties:
- formation enthalpy at 0 K (meV/atom) = 85
- energy (eV/atom) = -7.7292
- total magnetic moment (μB per cell) = 0.00
- E above lowest polymorph (meV/atom) = 427


2.
A geometry-optimized Sr2TaIr structure. Source: the Alexandria database, functional PBE.

abc: 3.204 5.095 5.793
angles: 90.00 90.00 90.00
Space group Pmmm (No. 47)
Asymmetric unit:
Sr1 0.000 0.000 0.242 (multiplicity 2)
Ta1 0.500 0.500 0.500 (multiplicity 1)
Ir1 0.500 0.500 0.000 (multiplicity 1)

Computed properties:
- formation enthalpy at 0 K (meV/atom) = 770
- energy (eV/atom) = -5.2490
- total magnetic moment (μB per cell) = 0.00
- E above lowest polymorph (meV/atom) = 729


3.
A geometry-optimized SrTa2Ir structure. Source: the Alexandria database, functional PBE.

abc: 3.099 5.223 10.145
angles: 90.00 90.00 90.00
Space group Imm2 (No. 44)
Asymmetric unit:
Sr1 0.000 0.000 0.000 (multiplicity 2)
Ta1 0.000 0.000 0.464 (multiplicity 2)
Ta2 0.000 0.500 0.209 (multiplicity 2)
Ir1 0.000 0.500 0.760 (multiplicity 2)

Computed properties:
- formation enthalpy at 0 K (meV/atom) = 528
- energy (eV/atom) = -8.0344
- total magnetic moment (μB per cell) = 0.00
- E above lowest polymorph (meV/atom) = 413


4.
A geometry-optimized Sr2TaIr structure. Source: the Alexandria database, functional PBE.

abc: 3.187 3.187 9.860
angles: 90.00 90.00 90.00
Space group P4/mmm (No. 123)
Asymmetric unit:
Sr1 0.000 0.000 0.211 (multiplicity 2)
Ta1 0.500 0.500 0.500 (multiplicity 1)
Ir1 0.500 0.500 0.000 (multiplicity 1)

Computed properties:
- formation enthalpy at 0 K (meV/atom) = 722
- energy (eV/atom) = -5.2971
- total magnetic moment (μB per cell) = 0.77
- E above lowest polymorph (meV/atom) = 680


5.
A geometry-optimized SrTaIr2 structure. Source: the Alexandria database, functional PBE.

abc: 6.618 6.618 6.618
angles: 90.00 90.00 90.00
Space group F-43m (No. 216)
Asymmetric unit:
Sr1 0.000 0.000 0.000 (multiplicity 4)
Ta1 0.250 0.250 0.750 (multiplicity 4)
Ir1 0.000 0.000 0.500 (multiplicity 4)
Ir2 0.250 0.250 0.250 (multiplicity 4)

Computed properties:
- formation enthalpy at 0 K (meV/atom) = 534
- energy (eV/atom) = -7.2797
- total magnetic moment (μB per cell) = 0.00
- E above lowest polymorph (meV/atom) = 877


6.
A geometry-optimized SrTaIr2 structure. Source: the Alexandria database, functional PBE.

abc: 4.3769 4.3769 16.8690
angles: 90.00 90.00 120.00
Space group R-3m (No. 166, hexagonal axes)
Asymmetric unit:
Sr1 0.0000 0.0000 0.0000 (multiplicity 3)
Ta1 0.0000 0.0000 0.5000 (multiplicity 3)
Ir1 0.0000 0.0000 0.2057 (multiplicity 6)

Computed properties:
- formation enthalpy at 0 K (meV/atom) = -193
- energy (eV/atom) = -8.0066
- total magnetic moment (μB per cell) = 0.00
- E above lowest polymorph (meV/atom) = 150


7.
A geometry-optimized SrTa2Ir2 structure. Source: the Alexandria database, functional PBE.

abc: 4.699 4.699 10.122
angles: 90.00 90.00 90.00
Space group I4/mmm (No. 139)
Asymmetric unit:
Sr1 0.000 0.000 0.000 (multiplicity 2)
Ta1 0.000 0.000 0.360 (multiplicity 4)
Ir1 0.000 0.500 0.250 (multiplicity 4)

Computed properties:
- formation enthalpy at 0 K (meV/atom) = -34
- energy (eV/atom) = -8.6557
- total magnetic moment (μB per cell) = 0.00
- E above lowest polymorph (meV/atom) = 433


8.
A geometry-optimized Sr2TaIr structure. Source: the Alexandria database, functional PBE.

abc: 18.757 3.510 3.937
angles: 90.00 102.06 90.00
Space group C2/m (No. 12)
Asymmetric unit:
Sr1 0.150 0.000 0.149 (multiplicity 4)
Ta1 0.000 0.000 0.500 (multiplicity 2)
Ir1 0.000 0.500 0.000 (multiplicity 2)

Computed properties:
- formation enthalpy at 0 K (meV/atom) = 130
- energy (eV/atom) = -5.8893
- total magnetic moment (μB per cell) = 0.65
- E above lowest polymorph (meV/atom) = 88


9.
A geometry-optimized SrTaIr2 structure. Source: the Alexandria database, functional PBE.

abc: 2.9428 2.9428 30.1257
angles: 90.00 90.00 120.00
Space group R3m (No. 160, hexagonal axes)
Asymmetric unit:
Sr1 0.0000 0.0000 0.0000 (multiplicity 3)
Ta1 0.0000 0.0000 0.7690 (multiplicity 3)
Ir1 0.0000 0.0000 0.2483 (multiplicity 3)
Ir2 0.0000 0.0000 0.5071 (multiplicity 3)

Computed properties:
- formation enthalpy at 0 K (meV/atom) = 571
- energy (eV/atom) = -7.2433
- total magnetic moment (μB per cell) = 2.14
- E above lowest polymorph (meV/atom) = 913


10.
A geometry-optimized SrTa2Ir structure. Source: the Alexandria database, functional PBE.

abc: 10.072 3.140 6.159
angles: 90.00 104.34 90.00
Space group Cm (No. 8)
Asymmetric unit:
Sr1 0.000 0.000 0.000 (multiplicity 2)
Ta1 0.201 0.000 0.631 (multiplicity 2)
Ta2 0.469 0.000 0.473 (multiplicity 2)
Ir1 0.255 0.500 0.331 (multiplicity 2)

Computed properties:
- formation enthalpy at 0 K (meV/atom) = 374
- energy (eV/atom) = -8.1876
- total magnetic moment (μB per cell) = 0.00
- E above lowest polymorph (meV/atom) = 260


11.
A geometry-optimized SrTa2Ir structure. Source: the Alexandria database, functional PBE.

abc: 6.693 6.693 6.693
angles: 90.00 90.00 90.00
Space group Fm-3m (No. 225)
Asymmetric unit:
Sr1 0.000 0.000 0.000 (multiplicity 4)
Ta1 0.250 0.250 0.250 (multiplicity 8)
Ir1 0.000 0.000 0.500 (multiplicity 4)

Computed properties:
- formation enthalpy at 0 K (meV/atom) = 628
- energy (eV/atom) = -7.9342
- total magnetic moment (μB per cell) = 0.00
- E above lowest polymorph (meV/atom) = 513


12.
A geometry-optimized SrTaIr2 structure. Source: the Alexandria database, functional PBE.

abc: 6.656 7.464 3.005
angles: 90.00 90.00 90.00
Space group Cmmm (No. 65)
Asymmetric unit:
Sr1 0.000 0.000 0.000 (multiplicity 2)
Ta1 0.000 0.500 0.000 (multiplicity 2)
Ir1 0.250 0.250 0.500 (multiplicity 4)

Computed properties:
- formation enthalpy at 0 K (meV/atom) = 87
- energy (eV/atom) = -7.7272
- total magnetic moment (μB per cell) = 0.00
- E above lowest polymorph (meV/atom) = 429


13.
A geometry-optimized Sr2TaIr structure. Source: the Alexandria database, functional PBE.

abc: 11.305 11.305 4.845
angles: 90.00 90.00 90.00
Space group I-42d (No. 122)
Asymmetric unit:
Sr1 0.087 0.750 0.125 (multiplicity 8)
Ta1 0.000 0.000 0.500 (multiplicity 4)
Ir1 0.000 0.000 0.000 (multiplicity 4)

Computed properties:
- formation enthalpy at 0 K (meV/atom) = 531
- energy (eV/atom) = -5.4878
- total magnetic moment (μB per cell) = 4.54
- E above lowest polymorph (meV/atom) = 490


14.
A geometry-optimized SrTaIr2 structure. Source: the Alexandria database, functional PBE.

abc: 2.862 4.931 10.964
angles: 90.00 90.00 90.00
Space group Imm2 (No. 44)
Asymmetric unit:
Sr1 0.000 0.000 0.000 (multiplicity 2)
Ta1 0.000 0.500 0.797 (multiplicity 2)
Ir1 0.000 0.000 0.517 (multiplicity 2)
Ir2 0.000 0.500 0.225 (multiplicity 2)

Computed properties:
- formation enthalpy at 0 K (meV/atom) = 108
- energy (eV/atom) = -7.7061
- total magnetic moment (μB per cell) = 0.00
- E above lowest polymorph (meV/atom) = 450


15.
A geometry-optimized Sr2TaIr structure. Source: the Alexandria database, functional PBE.

abc: 7.207 7.207 7.207
angles: 90.00 90.00 90.00
Space group F-43m (No. 216)
Asymmetric unit:
Sr1 0.000 0.000 0.000 (multiplicity 4)
Sr2 0.250 0.250 0.250 (multiplicity 4)
Ta1 0.250 0.250 0.750 (multiplicity 4)
Ir1 0.000 0.000 0.500 (multiplicity 4)

Computed properties:
- formation enthalpy at 0 K (meV/atom) = 733
- energy (eV/atom) = -5.2862
- total magnetic moment (μB per cell) = 0.00
- E above lowest polymorph (meV/atom) = 691


16.
A geometry-optimized SrTaIr2 structure. Source: the Alexandria database, functional PBE.

abc: 3.135 4.622 5.834
angles: 90.00 97.39 90.00
Space group Pm (No. 6)
Asymmetric unit:
Sr1 0.000 0.000 0.000 (multiplicity 1)
Ta1 0.859 0.500 0.462 (multiplicity 1)
Ir1 0.410 0.000 0.496 (multiplicity 1)
Ir2 0.451 0.500 0.801 (multiplicity 1)

Computed properties:
- formation enthalpy at 0 K (meV/atom) = 7
- energy (eV/atom) = -7.8071
- total magnetic moment (μB per cell) = 0.00
- E above lowest polymorph (meV/atom) = 349


17.
A geometry-optimized Sr2TaIr structure. Source: the Alexandria database, functional PBE.

abc: 5.737 10.300 3.173
angles: 90.00 90.11 90.00
Space group C2/m (No. 12)
Asymmetric unit:
Sr1 0.250 0.250 0.000 (multiplicity 4)
Ta1 0.000 0.000 0.500 (multiplicity 2)
Ir1 0.000 0.500 0.500 (multiplicity 2)

Computed properties:
- formation enthalpy at 0 K (meV/atom) = 782
- energy (eV/atom) = -5.2376
- total magnetic moment (μB per cell) = 0.00
- E above lowest polymorph (meV/atom) = 740


18.
A geometry-optimized SrTaIr2 structure. Source: the Alexandria database, functional PBE.

abc: 3.193 3.193 7.786
angles: 90.00 90.00 90.00
Space group P4/mmm (No. 123)
Asymmetric unit:
Sr1 0.000 0.000 0.000 (multiplicity 1)
Ta1 0.000 0.000 0.500 (multiplicity 1)
Ir1 0.500 0.500 0.308 (multiplicity 2)

Computed properties:
- formation enthalpy at 0 K (meV/atom) = -342
- energy (eV/atom) = -8.1564
- total magnetic moment (μB per cell) = 0.00
- E above lowest polymorph (meV/atom) = 0


19.
A geometry-optimized SrTaIr2 structure. Source: the Alexandria database, functional PBE.

abc: 10.782 2.847 5.102
angles: 90.00 103.53 90.00
Space group Cm (No. 8)
Asymmetric unit:
Sr1 0.000 0.000 0.000 (multiplicity 2)
Ta1 0.202 0.000 0.626 (multiplicity 2)
Ir1 0.265 0.500 0.196 (multiplicity 2)
Ir2 0.463 0.000 0.487 (multiplicity 2)

Computed properties:
- formation enthalpy at 0 K (meV/atom) = 83
- energy (eV/atom) = -7.7307
- total magnetic moment (μB per cell) = 0.00
- E above lowest polymorph (meV/atom) = 426


20.
A geometry-optimized SrTa2Ir structure. Source: the Alexandria database, functional PBE.

abc: 6.810 6.810 6.810
angles: 90.00 90.00 90.00
Space group F-43m (No. 216)
Asymmetric unit:
Sr1 0.000 0.000 0.000 (multiplicity 4)
Ta1 0.000 0.000 0.500 (multiplicity 4)
Ta2 0.250 0.250 0.750 (multiplicity 4)
Ir1 0.250 0.250 0.250 (multiplicity 4)

Computed properties:
- formation enthalpy at 0 K (meV/atom) = 643
- energy (eV/atom) = -7.9187
- total magnetic moment (μB per cell) = 0.00
- E above lowest polymorph (meV/atom) = 529


21.
A geometry-optimized Sr2TaIr structure. Source: the Alexandria database, functional PBE.

abc: 4.132 4.132 10.770
angles: 90.00 90.00 90.00
Space group I4/mmm (No. 139)
Asymmetric unit:
Sr1 0.000 0.500 0.250 (multiplicity 4)
Ta1 0.000 0.000 0.000 (multiplicity 2)
Ir1 0.000 0.000 0.500 (multiplicity 2)

Computed properties:
- formation enthalpy at 0 K (meV/atom) = 715
- energy (eV/atom) = -5.3045
- total magnetic moment (μB per cell) = 0.00
- E above lowest polymorph (meV/atom) = 673


22.
A geometry-optimized SrTa2Ir structure. Source: the Alexandria database, functional PBE.

abc: 4.144 4.153 9.720
angles: 90.00 90.00 90.00
Space group Cmmm (No. 65)
Asymmetric unit:
Sr1 0.000 0.000 0.000 (multiplicity 2)
Ta1 0.000 0.500 0.307 (multiplicity 4)
Ir1 0.000 0.000 0.500 (multiplicity 2)

Computed properties:
- formation enthalpy at 0 K (meV/atom) = 349
- energy (eV/atom) = -8.2130
- total magnetic moment (μB per cell) = 0.00
- E above lowest polymorph (meV/atom) = 234


23.
A geometry-optimized SrTa2Ir structure. Source: the Alexandria database, functional PBE.

abc: 11.752 3.000 5.213
angles: 90.00 109.81 90.00
Space group C2/m (No. 12)
Asymmetric unit:
Sr1 0.000 0.000 0.000 (multiplicity 2)
Ta1 0.204 0.000 0.678 (multiplicity 4)
Ir1 0.000 0.500 0.500 (multiplicity 2)

Computed properties:
- formation enthalpy at 0 K (meV/atom) = 243
- energy (eV/atom) = -8.3188
- total magnetic moment (μB per cell) = 0.00
- E above lowest polymorph (meV/atom) = 129


24.
A geometry-optimized SrTaIr2 structure. Source: the Alexandria database, functional PBE.

abc: 4.011 4.011 9.399
angles: 90.00 90.00 90.00
Space group I-4m2 (No. 119)
Asymmetric unit:
Sr1 0.000 0.000 0.000 (multiplicity 2)
Ta1 0.000 0.500 0.750 (multiplicity 2)
Ir1 0.000 0.000 0.500 (multiplicity 2)
Ir2 0.000 0.500 0.250 (multiplicity 2)

Computed properties:
- formation enthalpy at 0 K (meV/atom) = 398
- energy (eV/atom) = -7.4165
- total magnetic moment (μB per cell) = 0.00
- E above lowest polymorph (meV/atom) = 740


25.
A geometry-optimized SrTa2Ir structure. Source: the Alexandria database, functional PBE.

abc: 2.9949 2.9949 31.1797
angles: 90.00 90.00 120.00
Space group R-3m (No. 166, hexagonal axes)
Asymmetric unit:
Sr1 0.0000 0.0000 0.0000 (multiplicity 3)
Ta1 0.0000 0.0000 0.2371 (multiplicity 6)
Ir1 0.0000 0.0000 0.5000 (multiplicity 3)

Computed properties:
- formation enthalpy at 0 K (meV/atom) = 551
- energy (eV/atom) = -8.0114
- total magnetic moment (μB per cell) = 0.00
- E above lowest polymorph (meV/atom) = 436


26.
A geometry-optimized Sr2TaTlIr structure. Source: the Alexandria database, functional PBE.

abc: 6.035 6.035 4.981
angles: 90.00 90.00 90.00
Space group P4/mmm (No. 123)
Asymmetric unit:
Sr1 0.000 0.500 0.000 (multiplicity 2)
Ta1 0.000 0.000 0.500 (multiplicity 1)
Tl1 0.500 0.500 0.000 (multiplicity 1)
Ir1 0.500 0.500 0.500 (multiplicity 1)

Computed properties:
- formation enthalpy at 0 K (meV/atom) = 1405
- energy (eV/atom) = -3.8836
- total magnetic moment (μB per cell) = 4.11


27.
A geometry-optimized SrTb2Ir structure. Source: the Alexandria database, functional PBE.

abc: 4.1431 4.1431 28.9705
angles: 90.00 90.00 120.00
Space group R-3m (No. 166, hexagonal axes)
Asymmetric unit:
Sr1 0.0000 0.0000 0.0000 (multiplicity 3)
Tb1 0.0000 0.0000 0.2151 (multiplicity 6)
Ir1 0.0000 0.0000 0.5000 (multiplicity 3)

Computed properties:
- formation enthalpy at 0 K (meV/atom) = -413
- energy (eV/atom) = -5.3639
- total magnetic moment (μB per cell) = 0.00
- E above lowest polymorph (meV/atom) = 12


28.
A geometry-optimized Sr3TbIr8 structure. Source: the Alexandria database, functional PBE.

abc: 5.4588 5.4588 26.6460
angles: 90.00 90.00 120.00
Space group R3m (No. 160, hexagonal axes)
Asymmetric unit:
Sr1 0.0000 0.0000 0.0000 (multiplicity 3)
Sr2 0.0000 0.0000 0.1242 (multiplicity 3)
Sr3 0.0000 0.0000 0.6270 (multiplicity 3)
Tb1 0.0000 0.0000 0.5006 (multiplicity 3)
Ir1 0.0000 0.0000 0.3132 (multiplicity 3)
Ir2 0.0000 0.0000 0.8132 (multiplicity 3)
Ir3 0.0040 0.5020 0.0652 (multiplicity 9)
Ir4 0.1685 0.3370 0.8944 (multiplicity 9)

Computed properties:
- formation enthalpy at 0 K (meV/atom) = -393
- energy (eV/atom) = -7.1069
- total magnetic moment (μB per cell) = 0.00


29.
A geometry-optimized SrTb3Ir structure. Source: the Alexandria database, functional PBE.

abc: 5.545 5.545 5.545
angles: 90.00 90.00 90.00
Space group Pm-3m (No. 221)
Asymmetric unit:
Sr1 0.000 0.000 0.000 (multiplicity 1)
Tb1 0.000 0.500 0.500 (multiplicity 3)
Ir1 0.500 0.500 0.500 (multiplicity 1)

Computed properties:
- formation enthalpy at 0 K (meV/atom) = -320
- energy (eV/atom) = -5.2071
- total magnetic moment (μB per cell) = 0.00